{"formula": "PuSc3As4", "functional": "GGA-PBE", "state": "relaxed", "polymorph_energy_mev_per_atom": 3.2, "e_form_ev_per_atom": -1.266, "spacegroup": "Cmmm (65)", "lattice_angstrom": [[7.8765, 0.0000, 0.0000], [0.0000, 11.1361, 0.0000], [0.0000, 0.0000, 3.9577]], "species": ["Pu", "Pu", "Sc", "Sc", "Sc", "Sc", "Sc", "Sc", "As", "As", "As", "As", "As", "As", "As", "As"], "fractional_positions": [[0.0000, 0.0000, 0.0000], [0.5000, 0.5000, 0.0000], [0.0000, 0.5000, 0.0000], [0.2500, 0.2500, 0.5000], [0.2500, 0.7500, 0.5000], [0.5000, 0.0000, 0.0000], [0.7500, 0.2500, 0.5000], [0.7500, 0.7500, 0.5000], [0.0000, 0.2544, 0.0000], [0.0000, 0.7456, 0.0000], [0.2405, 0.5000, 0.5000], [0.2595, 0.0000, 0.5000], [0.5000, 0.2456, 0.0000], [0.5000, 0.7544, 0.0000], [0.7405, 0.0000, 0.5000], [0.7595, 0.5000, 0.5000]]}


{"formula": "KNa6Li", "functional": "GGA-PBE", "state": "relaxed", "polymorph_energy_mev_per_atom": 0.0, "e_form_ev_per_atom": 0.038, "spacegroup": "P4/mmm (123)", "lattice_angstrom": [[8.3593, 0.0000, 0.0000], [0.0000, 8.3593, 0.0000], [0.0000, 0.0000, 4.4036]], "species": ["K", "Na", "Na", "Na", "Na", "Na", "Na", "Li"], "fractional_positions": [[0.0000, 0.0000, 0.0000], [0.0000, 0.5000, 0.0000], [0.2839, 0.2839, 0.5000], [0.2839, 0.7161, 0.5000], [0.5000, 0.0000, 0.0000], [0.7161, 0.2839, 0.5000], [0.7161, 0.7161, 0.5000], [0.5000, 0.5000, 0.0000]]}


{"formula": "RbBa2TiI", "functional": "GGA-PBE", "state": "relaxed", "dft_energy_ev_per_cell": -10.08, "spacegroup": "P4/mmm (123)", "lattice_angstrom": [[7.1728, 0.0000, 0.0000], [0.0000, 7.1728, 0.0000], [0.0000, 0.0000, 5.4324]], "species": ["Rb", "Ba", "Ba", "Ti", "I"], "fractional_positions": [[0.0000, 0.0000, 0.0000], [0.0000, 0.5000, 0.0000], [0.5000, 0.0000, 0.0000], [0.0000, 0.0000, 0.5000], [0.5000, 0.5000, 0.5000]]}


{"formula": "MgInH2", "functional": "GGA-PBE", "state": "relaxed", "polymorph_energy_mev_per_atom": 24.7, "spacegroup": "Pm (6)", "lattice_angstrom": [[3.5830, 0.0000, 0.0000], [0.0000, 3.0807, 0.0000], [-0.0044, 0.0000, 11.0507]], "species": ["Mg", "Mg", "In", "In", "H", "H", "H", "H"], "fractional_positions": [[0.0000, 0.0000, 0.0000], [0.4994, 0.5000, 0.7874], [0.4920, 0.5000, 0.2838], [0.9922, 0.0000, 0.5018], [0.4946, 0.0000, 0.6952], [0.4989, 0.0000, 0.9314], [0.9944, 0.5000, 0.0918], [0.9986, 0.5000, 0.8557]]}


{"formula": "Cr2CoPb", "functional": "GGA-PBE", "state": "relaxed", "e_form_ev_per_atom": 0.483, "spacegroup": "F-43m (216)", "lattice_angstrom": [[6.2428, 0.0000, 0.0000], [0.0000, 6.2428, 0.0000], [0.0000, 0.0000, 6.2428]], "species": ["Cr", "Cr", "Cr", "Cr", "Cr", "Cr", "Cr", "Cr", "Co", "Co", "Co", "Co", "Pb", "Pb", "Pb", "Pb"], "fractional_positions": [[0.0000, 0.0000, 0.0000], [0.0000, 0.5000, 0.5000], [0.2500, 0.2500, 0.2500], [0.2500, 0.7500, 0.7500], [0.5000, 0.0000, 0.5000], [0.5000, 0.5000, 0.0000], [0.7500, 0.2500, 0.7500], [0.7500, 0.7500, 0.2500], [0.0000, 0.0000, 0.5000], [0.0000, 0.5000, 0.0000], [0.5000, 0.0000, 0.0000], [0.5000, 0.5000, 0.5000], [0.2500, 0.2500, 0.7500], [0.2500, 0.7500, 0.2500], [0.7500, 0.2500, 0.2500], [0.7500, 0.7500, 0.7500]]}


{"formula": "CaPt2F", "functional": "GGA-PBE", "state": "relaxed", "polymorph_energy_mev_per_atom": 1047.8, "spacegroup": "Fm-3m (225)", "lattice_angstrom": [[6.5226, 0.0000, 0.0000], [0.0000, 6.5226, 0.0000], [0.0000, 0.0000, 6.5226]], "species": ["Ca", "Ca", "Ca", "Ca", "Pt", "Pt", "Pt", "Pt", "Pt", "Pt", "Pt", "Pt", "F", "F", "F", "F"], "fractional_positions": [[0.0000, 0.0000, 0.0000], [0.0000, 0.5000, 0.5000], [0.5000, 0.0000, 0.5000], [0.5000, 0.5000, 0.0000], [0.2500, 0.2500, 0.2500], [0.2500, 0.2500, 0.7500], [0.2500, 0.7500, 0.2500], [0.2500, 0.7500, 0.7500], [0.7500, 0.2500, 0.2500], [0.7500, 0.2500, 0.7500], [0.7500, 0.7500, 0.2500], [0.7500, 0.7500, 0.7500], [0.0000, 0.0000, 0.5000], [0.0000, 0.5000, 0.0000], [0.5000, 0.0000, 0.0000], [0.5000, 0.5000, 0.5000]]}


What did the sixth record say?
{"formula": "CaPt2F", "functional": "GGA-PBE", "state": "relaxed", "polymorph_energy_mev_per_atom": 1047.8, "spacegroup": "Fm-3m (225)", "lattice_angstrom": [[6.5226, 0.0000, 0.0000], [0.0000, 6.5226, 0.0000], [0.0000, 0.0000, 6.5226]], "species": ["Ca", "Ca", "Ca", "Ca", "Pt", "Pt", "Pt", "Pt", "Pt", "Pt", "Pt", "Pt", "F", "F", "F", "F"], "fractional_positions": [[0.0000, 0.0000, 0.0000], [0.0000, 0.5000, 0.5000], [0.5000, 0.0000, 0.5000], [0.5000, 0.5000, 0.0000], [0.2500, 0.2500, 0.2500], [0.2500, 0.2500, 0.7500], [0.2500, 0.7500, 0.2500], [0.2500, 0.7500, 0.7500], [0.7500, 0.2500, 0.2500], [0.7500, 0.2500, 0.7500], [0.7500, 0.7500, 0.2500], [0.7500, 0.7500, 0.7500], [0.0000, 0.0000, 0.5000], [0.0000, 0.5000, 0.0000], [0.5000, 0.0000, 0.0000], [0.5000, 0.5000, 0.5000]]}